## w
# PBE-GGA PmEuAg2, relaxed
# V ... 26.932 A^3/atom
# Density ... 7.90 g/cm³
data_PmEuAg2
_chemical_formula_sum 'Pm1 Eu1 Ag2'
_symmetry_space_group_name_H-M 'P 4/m m m'
_symmetry_Int_Tables_number 123
_symmetry_space_group_name_Hall '-P 4 2'
_cell_length_a 3.7733
_cell_length_b 3.7733
_cell_length_c 7.5663
_cell_angle_alpha 90.00
_cell_angle_beta 90.00
_cell_angle_gamma 90.00
loop_
_atom_site_label
_atom_site_fract_x
_atom_site_fract_y
_atom_site_fract_z
_atom_site_occupancy
Pm1 0.0000 0.0000 0.0000 1
Eu1 0.0000 0.0000 0.5000 1
Ag1 0.5000 0.5000 0.2285 1

=====

## x
# PBE-GGA PmEuAg2, relaxed
# V ... 26.571 A^3/atom
# Density ... 8.01 g/cm³
data_PmEuAg2
_chemical_formula_sum 'Pm4 Eu4 Ag8'
_symmetry_space_group_name_H-M 'F m -3 m'
_symmetry_Int_Tables_number 225
_symmetry_space_group_name_Hall '-F 4 2 3'
_cell_length_a 7.5193
_cell_length_b 7.5193
_cell_length_c 7.5193
_cell_angle_alpha 90.00
_cell_angle_beta 90.00
_cell_angle_gamma 90.00
loop_
_atom_site_label
_atom_site_fract_x
_atom_site_fract_y
_atom_site_fract_z
_atom_site_occupancy
Pm1 0.0000 0.0000 0.0000 1
Eu1 0.0000 0.0000 0.5000 1
Ag1 0.2500 0.2500 0.2500 1

=====

Stability ranking, top entry: w; the second entry is 1.3 kJ/mol of atoms less favorable.

=====

## w
# PBE-GGA Pm2EuAg, relaxed
# V ... 31.829 A^3/atom
# Density ... 7.17 g/cm³
data_Pm2EuAg
_chemical_formula_sum 'Pm2 Eu1 Ag1'
_symmetry_space_group_name_H-M 'P 4/m m m'
_symmetry_Int_Tables_number 123
_symmetry_space_group_name_Hall '-P 4 2'
_cell_length_a 3.7418
_cell_length_b 3.7418
_cell_length_c 9.0931
_cell_angle_alpha 90.00
_cell_angle_beta 90.00
_cell_angle_gamma 90.00
loop_
_atom_site_label
_atom_site_fract_x
_atom_site_fract_y
_atom_site_fract_z
_atom_site_occupancy
Pm1 0.0000 0.0000 0.2004 1
Eu1 0.5000 0.5000 0.5000 1
Ag1 0.5000 0.5000 0.0000 1

=====

## x
# PBE-GGA Pm2EuAg, relaxed
# V ... 29.645 A^3/atom
# Density ... 7.70 g/cm³
data_Pm2EuAg
_chemical_formula_sum 'Pm8 Eu4 Ag4'
_symmetry_space_group_name_H-M 'F m -3 m'
_symmetry_Int_Tables_number 225
_symmetry_space_group_name_Hall '-F 4 2 3'
_cell_length_a 7.7987
_cell_length_b 7.7987
_cell_length_c 7.7987
_cell_angle_alpha 90.00
_cell_angle_beta 90.00
_cell_angle_gamma 90.00
loop_
_atom_site_label
_atom_site_fract_x
_atom_site_fract_y
_atom_site_fract_z
_atom_site_occupancy
Pm1 0.2500 0.2500 0.2500 1
Eu1 0.0000 0.0000 0.0000 1
Ag1 0.0000 0.0000 0.5000 1

=====

Stability ranking, top entry: w; the second entry is 15.0 kJ/mol of atoms less favorable.

=====

## w
# PBE-GGA EuPuAg2, relaxed
# V ... 26.365 A^3/atom
# Density ... 9.63 g/cm³
data_EuPuAg2
_chemical_formula_sum 'Eu4 Pu4 Ag8'
_symmetry_space_group_name_H-M 'F m -3 m'
_symmetry_Int_Tables_number 225
_symmetry_space_group_name_Hall '-F 4 2 3'
_cell_length_a 7.4998
_cell_length_b 7.4998
_cell_length_c 7.4998
_cell_angle_alpha 90.00
_cell_angle_beta 90.00
_cell_angle_gamma 90.00
loop_
_atom_site_label
_atom_site_fract_x
_atom_site_fract_y
_atom_site_fract_z
_atom_site_occupancy
Eu1 0.0000 0.0000 0.0000 1
Pu1 0.0000 0.0000 0.5000 1
Ag1 0.2500 0.2500 0.2500 1

=====

## x
# PBE-GGA EuPuAg2, relaxed
# V ... 25.687 A^3/atom
# Density ... 9.89 g/cm³
data_EuPuAg2
_chemical_formula_sum 'Eu1 Pu1 Ag2'
_symmetry_space_group_name_H-M 'P 4/m m m'
_symmetry_Int_Tables_number 123
_symmetry_space_group_name_Hall '-P 4 2'
_cell_length_a 5.5343
_cell_length_b 5.5343
_cell_length_c 3.3547
_cell_angle_alpha 90.00
_cell_angle_beta 90.00
_cell_angle_gamma 90.00
loop_
_atom_site_label
_atom_site_fract_x
_atom_site_fract_y
_atom_site_fract_z
_atom_site_occupancy
Eu1 0.0000 0.0000 0.0000 1
Pu1 0.5000 0.5000 0.0000 1
Ag1 0.0000 0.5000 0.5000 1

=====

Stability ranking, top entry: x; the second entry is 3.6 kJ/mol of atoms less favorable.

=====

## w
# PBE-GGA Eu2PuAg, relaxed
# V ... 31.239 A^3/atom
# Density ... 8.71 g/cm³
data_Eu2PuAg
_chemical_formula_sum 'Eu6 Pu3 Ag3'
_symmetry_space_group_name_H-M 'R -3 m'
_symmetry_Int_Tables_number 166
_symmetry_space_group_name_Hall '-R 3 2"'
_cell_length_a 3.5892
_cell_length_b 3.5892
_cell_length_c 33.6010
_cell_angle_alpha 90.00
_cell_angle_beta 90.00
_cell_angle_gamma 120.00
loop_
_atom_site_label
_atom_site_fract_x
_atom_site_fract_y
_atom_site_fract_z
_atom_site_occupancy
Eu1 0.0000 0.0000 0.2403 1
Pu1 0.0000 0.0000 0.0000 1
Ag1 0.0000 0.0000 0.5000 1

=====

## x
# PBE-GGA Eu2PuAg, relaxed
# V ... 31.105 A^3/atom
# Density ... 8.75 g/cm³
data_Eu2PuAg
_chemical_formula_sum 'Eu2 Pu1 Ag1'
_symmetry_space_group_name_H-M 'P 4/m m m'
_symmetry_Int_Tables_number 123
_symmetry_space_group_name_Hall '-P 4 2'
_cell_length_a 3.7338
_cell_length_b 3.7338
_cell_length_c 8.9245
_cell_angle_alpha 90.00
_cell_angle_beta 90.00
_cell_angle_gamma 90.00
loop_
_atom_site_label
_atom_site_fract_x
_atom_site_fract_y
_atom_site_fract_z
_atom_site_occupancy
Eu1 0.0000 0.0000 0.2155 1
Pu1 0.5000 0.5000 0.5000 1
Ag1 0.5000 0.5000 0.0000 1

=====

Stability ranking, top entry: x; the second entry is 15.0 kJ/mol of atoms less favorable.

=====

## w
# PBE-GGA EuScAg, relaxed
# V ... 27.105 A^3/atom
# Density ... 6.22 g/cm³
data_EuScAg
_chemical_formula_sum 'Eu1 Sc1 Ag1'
_symmetry_space_group_name_H-M 'P -6 m 2'
_symmetry_Int_Tables_number 187
_symmetry_space_group_name_Hall 'P -6 2'
_cell_length_a 4.9558
_cell_length_b 4.9558
_cell_length_c 3.8231
_cell_angle_alpha 90.00
_cell_angle_beta 90.00
_cell_angle_gamma 120.00
loop_
_atom_site_label
_atom_site_fract_x
_atom_site_fract_y
_atom_site_fract_z
_atom_site_occupancy
Eu1 0.0000 0.0000 0.0000 1
Sc1 0.3333 0.6667 0.5000 1
Ag1 0.6667 0.3333 0.5000 1

=====

## x
# PBE-GGA EuScAg, relaxed
# V ... 26.779 A^3/atom
# Density ... 6.30 g/cm³
data_EuScAg
_chemical_formula_sum 'Eu2 Sc2 Ag2'
_symmetry_space_group_name_H-M 'I 4 m m'
_symmetry_Int_Tables_number 107
_symmetry_space_group_name_Hall 'I 4 -2'
_cell_length_a 3.5965
_cell_length_b 3.5965
_cell_length_c 12.4219
_cell_angle_alpha 90.00
_cell_angle_beta 90.00
_cell_angle_gamma 90.00
loop_
_atom_site_label
_atom_site_fract_x
_atom_site_fract_y
_atom_site_fract_z
_atom_site_occupancy
Eu1 0.0000 0.0000 0.0000 1
Sc1 0.0000 0.0000 0.2858 1
Ag1 0.0000 0.0000 0.6760 1

=====

Stability ranking, top entry: x; the second entry is 12.1 kJ/mol of atoms less favorable.

=====

## w
# PBE-GGA SmEuAg2, relaxed
# V ... 26.726 A^3/atom
# Density ... 8.05 g/cm³
data_SmEuAg2
_chemical_formula_sum 'Sm1 Eu1 Ag2'
_symmetry_space_group_name_H-M 'P 4/m m m'
_symmetry_Int_Tables_number 123
_symmetry_space_group_name_Hall '-P 4 2'
_cell_length_a 3.7624
_cell_length_b 3.7624
_cell_length_c 7.5522
_cell_angle_alpha 90.00
_cell_angle_beta 90.00
_cell_angle_gamma 90.00
loop_
_atom_site_label
_atom_site_fract_x
_atom_site_fract_y
_atom_site_fract_z
_atom_site_occupancy
Sm1 0.0000 0.0000 0.0000 1
Eu1 0.0000 0.0000 0.5000 1
Ag1 0.5000 0.5000 0.2265 1

=====

## x
# PBE-GGA SmEuAg2, relaxed
# V ... 26.356 A^3/atom
# Density ... 8.16 g/cm³
data_SmEuAg2
_chemical_formula_sum 'Sm4 Eu4 Ag8'
_symmetry_space_group_name_H-M 'F m -3 m'
_symmetry_Int_Tables_number 225
_symmetry_space_group_name_Hall '-F 4 2 3'
_cell_length_a 7.4990
_cell_length_b 7.4990
_cell_length_c 7.4990
_cell_angle_alpha 90.00
_cell_angle_beta 90.00
_cell_angle_gamma 90.00
loop_
_atom_site_label
_atom_site_fract_x
_atom_site_fract_y
_atom_site_fract_z
_atom_site_occupancy
Sm1 0.0000 0.0000 0.0000 1
Eu1 0.0000 0.0000 0.5000 1
Ag1 0.2500 0.2500 0.2500 1

=====

Stability ranking, top entry: w; the second entry is 1.8 kJ/mol of atoms less favorable.